1.
Density functional theory data (PBE) for a relaxed PmSm2Au8 crystal.

Cell lengths 8.0208, 15.2758, 5.2388 Å; angles 90.00, 130.62, 90.00 degrees
Last column: nearest neighbours and their distance in Å.
Space group C2/m (No. 12)
One atom of each set of equivalent atoms:
Pm: 0.0000 0.0000 0.0000  6 Au 3.06-3.31
Sm: 0.0000 0.3150 0.5000  12 Au 3.05-3.20
Au: 0.0000 0.2001 0.0000  6 Au 3.04-3.15, 4 Sm 3.05-3.15, 1 Pm 3.06
Au: 0.0003 0.5000 0.2506  6 Au 2.62-2.93
Au: 0.2283 0.1327 0.7296  4 Au 2.78-3.04, 1 Sm 3.11

Calculated values
Final energy (eV/atom): -4.363

=====

2.
Density functional theory data (PBE) for a relaxed PmSmAu crystal.

Cell lengths 4.7072, 4.7072, 7.7941 Å; angles 90.00, 90.00, 90.00 degrees
Last column: nearest neighbours and their distance in Å.
Space group P4/nmm (No. 129, origin choice 2)
One atom of each set of equivalent atoms:
Pm: 0.2500 0.7500 0.0000  4 Au 3.12, 4 Pm 3.33
Sm: 0.2500 0.2500 0.3697  1 Au 2.87
Au: 0.2500 0.2500 0.7380  1 Sm 2.87, 4 Pm 3.12

Calculated values
Energy above the lowest structure with this stoichiometry (eV per formula unit): 0.30
Final energy (eV/atom): -4.718

=====

3.
Density functional theory data (PBE) for a relaxed Pm2Sm3Au2 crystal.

Cell lengths 12.8760, 3.8366, 9.3399 Å; angles 90.00, 115.75, 90.00 degrees
Last column: nearest neighbours and their distance in Å.
Space group C2/m (No. 12)
One atom of each set of equivalent atoms:
Pm: 0.1530 0.0000 0.3134  2 Au 3.16
Sm: 0.0000 0.5000 0.5000  4 Au 2.99
Sm: 0.1136 0.5000 0.9455  3 Au 3.07-3.12
Au: 0.1675 0.0000 0.7297  5 Sm 2.99-3.12, 2 Pm 3.16

Calculated values
Final energy (eV/atom): -4.785